# 1
Entry from Alexandria: a relaxed structure of PuNi6As4 (PBE).

Summary:
- size of the total moment (μB/atom) = 0.517
- calculated total energy (eV/atom) = -6.52
- energy above the most stable polymorph in this dataset (meV/atom) = 39
- energy relative to the elements (eV per atom) = -0.372

a = 6.1169 Å, b = 6.1169 Å, c = 6.1169 Å
α = 117.76°, β = 117.76°, γ = 93.92°
Positions (direct):
Pu: 0.0000 0.0000 0.0000
Ni: 0.0000 0.5000 0.5000
Ni: 0.2364 0.5324 0.0000
Ni: 0.4676 0.4676 0.7040
Ni: 0.5000 0.0000 0.5000
Ni: 0.5324 0.2364 0.0000
Ni: 0.7636 0.7636 0.2960
As: 0.1287 0.1287 0.5715
As: 0.4428 0.8713 0.0000
As: 0.5572 0.5572 0.4285
As: 0.8713 0.4428 0.0000

***

# 2
Entry from Alexandria: a relaxed structure of Pu2NiAs3 (PBE).

Summary:
- size of the total moment (μB/atom) = 1.697
- calculated total energy (eV/atom) = -8.63
- energy relative to the elements (eV per atom) = -0.562

a = 4.0298 Å, b = 5.8411 Å, c = 10.9296 Å
α = 90.00°, β = 90.00°, γ = 90.00°
Positions (direct):
Pu: 0.0000 0.0000 0.1832
Pu: 0.0000 0.0000 0.8168
Pu: 0.5000 0.5000 0.3168
Pu: 0.5000 0.5000 0.6832
Ni: 0.0000 0.0000 0.5000
Ni: 0.5000 0.5000 0.0000
As: 0.0000 0.5000 0.1307
As: 0.0000 0.5000 0.5000
As: 0.0000 0.5000 0.8693
As: 0.5000 0.0000 0.0000
As: 0.5000 0.0000 0.3693
As: 0.5000 0.0000 0.6307

***

# 3
Entry from Alexandria: a relaxed structure of Pu2Ni2As3 (PBE).

Summary:
- size of the total moment (μB/atom) = 1.480
- calculated total energy (eV/atom) = -8.36
- energy relative to the elements (eV per atom) = -0.618

a = 9.9923 Å, b = 4.2656 Å, c = 6.1531 Å
α = 90.00°, β = 101.98°, γ = 90.00°
Positions (direct):
Pu: 0.1260 0.0000 0.2797
Pu: 0.3740 0.5000 0.7203
Pu: 0.6260 0.5000 0.2797
Pu: 0.8740 0.0000 0.7203
Ni: 0.1013 0.5000 0.9073
Ni: 0.3987 0.0000 0.0927
Ni: 0.6013 0.0000 0.9073
Ni: 0.8987 0.5000 0.0927
As: 0.0000 0.5000 0.5000
As: 0.1843 0.0000 0.8098
As: 0.3157 0.5000 0.1902
As: 0.5000 0.0000 0.5000
As: 0.6843 0.5000 0.8098
As: 0.8157 0.0000 0.1902

***

# 4
Entry from Alexandria: a relaxed structure of PuNi4As (PBE).

Summary:
- size of the total moment (μB/atom) = 0.490
- calculated total energy (eV/atom) = -7.21
- energy relative to the elements (eV per atom) = -0.197

a = 4.9227 Å, b = 4.9227 Å, c = 4.9227 Å
α = 60.00°, β = 60.00°, γ = 60.00°
Positions (direct):
Pu: 0.0000 0.0000 0.0000
Ni: 0.1243 0.6252 0.6252
Ni: 0.6252 0.1243 0.6252
Ni: 0.6252 0.6252 0.1243
Ni: 0.6252 0.6252 0.6252
As: 0.2500 0.2500 0.2500

***

# 5
Entry from Alexandria: a relaxed structure of PuNi5As3 (PBE).

Summary:
- size of the total moment (μB/atom) = 0.640
- calculated total energy (eV/atom) = -6.82
- energy relative to the elements (eV per atom) = -0.469

a = 6.3747 Å, b = 6.3747 Å, c = 11.7407 Å
α = 90.00°, β = 90.00°, γ = 146.18°
Positions (direct):
Pu: 0.1564 0.8436 0.7500
Pu: 0.8436 0.1564 0.2500
Ni: 0.0000 0.0000 0.0000
Ni: 0.0000 0.0000 0.5000
Ni: 0.1946 0.8054 0.0639
Ni: 0.1946 0.8054 0.4361
Ni: 0.4451 0.5549 0.6438
Ni: 0.4451 0.5549 0.8562
Ni: 0.5549 0.4451 0.1438
Ni: 0.5549 0.4451 0.3562
Ni: 0.8054 0.1946 0.5639
Ni: 0.8054 0.1946 0.9361
As: 0.1210 0.8790 0.2500
As: 0.3807 0.6193 0.0497
As: 0.3807 0.6193 0.4503
As: 0.6193 0.3807 0.5497
As: 0.6193 0.3807 0.9503
As: 0.8790 0.1210 0.7500

***

# 6
Entry from Alexandria: a relaxed structure of Pu2NiAs3Rh4 (PBE).

Summary:
- size of the total moment (μB/atom) = 0.994
- calculated total energy (eV/atom) = -8.41
- energy relative to the elements (eV per atom) = -0.633

a = 4.1249 Å, b = 4.1249 Å, c = 10.3655 Å
α = 90.00°, β = 90.00°, γ = 90.00°
Positions (direct):
Pu: 0.0000 0.5000 0.2346
Pu: 0.5000 0.0000 0.7654
Ni: 0.5000 0.5000 0.0000
As: 0.0000 0.0000 0.0000
As: 0.0000 0.5000 0.6361
As: 0.5000 0.0000 0.3639
Rh: 0.0000 0.0000 0.5000
Rh: 0.0000 0.5000 0.8669
Rh: 0.5000 0.0000 0.1331
Rh: 0.5000 0.5000 0.5000

***

# 7
Entry from Alexandria: a relaxed structure of Pu2NiAs4Rh3 (PBE).

Summary:
- size of the total moment (μB/atom) = 1.040
- calculated total energy (eV/atom) = -8.16
- energy relative to the elements (eV per atom) = -0.649

a = 4.2806 Å, b = 4.2806 Å, c = 9.8243 Å
α = 90.00°, β = 90.00°, γ = 90.00°
Positions (direct):
Pu: 0.0000 0.5000 0.2489
Pu: 0.5000 0.0000 0.7511
Ni: 0.5000 0.5000 0.0000
As: 0.0000 0.0000 0.5000
As: 0.0000 0.5000 0.8708
As: 0.5000 0.0000 0.1292
As: 0.5000 0.5000 0.5000
Rh: 0.0000 0.0000 0.0000
Rh: 0.0000 0.5000 0.6240
Rh: 0.5000 0.0000 0.3760

***

# 8
Entry from Alexandria: a relaxed structure of PuNiAs3Rh2 (PBE).

Summary:
- size of the total moment (μB/atom) = 0.709
- calculated total energy (eV/atom) = -7.26
- energy relative to the elements (eV per atom) = -0.294

a = 8.2790 Å, b = 8.2790 Å, c = 8.2790 Å
α = 46.10°, β = 46.10°, γ = 46.10°
Positions (direct):
Pu: 0.2290 0.2290 0.2290
Pu: 0.7710 0.7710 0.7710
Ni: 0.1165 0.1165 0.1165
Ni: 0.8835 0.8835 0.8835
As: 0.2645 0.2645 0.7111
As: 0.2645 0.7111 0.2645
As: 0.2889 0.7355 0.7355
As: 0.7111 0.2645 0.2645
As: 0.7355 0.2889 0.7355
As: 0.7355 0.7355 0.2889
Rh: 0.0000 0.5000 0.5000
Rh: 0.5000 0.0000 0.5000
Rh: 0.5000 0.5000 0.0000
Rh: 0.5000 0.5000 0.5000